[1]
Below is a relaxed structure of BaGa2Ir, with properties calculated at the PBE level.

## Properties
* E: -4.6280 eV/atom

Unit cell a=4.479 b=19.042 c=4.486 alpha=90.00 beta=90.00 gamma=90.00
Space group Cmmm (No. 65)
Unique sites:
Ba  0.000  0.144  0.000 [4 per cell]
Ga  0.000  0.000  0.500 [2 per cell]
Ga  0.000  0.294  0.500 [4 per cell]
Ga  0.000  0.500  0.000 [2 per cell]
Ir  0.000  0.428  0.500 [4 per cell]

[2]
Below is a relaxed structure of BaGa3Ir, with properties calculated at the PBE level.

## Properties
* E: -4.4199 eV/atom

Unit cell a=6.9320 b=6.9320 c=16.4070 alpha=90.00 beta=90.00 gamma=120.00
Space group R-3m (No. 166, hexagonal axes)
Unique sites:
Ba  0.0000  0.0000  0.1027 [6 per cell]
Ga  0.0560  0.5280  0.0870 [18 per cell]
Ir  0.0000  0.0000  0.3021 [6 per cell]

[3]
Below is a relaxed structure of BaGa3Ir, with properties calculated at the PBE level.

## Properties
* E: -4.2984 eV/atom

Unit cell a=17.335 b=4.102 c=6.990 alpha=90.00 beta=104.73 gamma=90.00
Space group C2/m (No. 12)
Unique sites:
Ba  0.099  0.000  0.183 [4 per cell]
Ga  0.072  0.000  0.667 [4 per cell]
Ga  0.209  0.500  0.536 [4 per cell]
Ga  0.245  0.000  0.854 [4 per cell]
Ir  0.147  0.500  0.817 [4 per cell]

[4]
Below is a relaxed structure of Ba3Ga4Ir2, with properties calculated at the PBE level.

## Properties
* E: -4.3670 eV/atom

Unit cell a=12.179 b=4.671 c=8.701 alpha=90.00 beta=102.60 gamma=90.00
Space group C2/m (No. 12)
Unique sites:
Ba  0.000  0.000  0.000 [2 per cell]
Ba  0.104  0.500  0.693 [4 per cell]
Ga  0.132  0.000  0.399 [4 per cell]
Ga  0.217  0.500  0.090 [4 per cell]
Ir  0.200  0.500  0.368 [4 per cell]

[5]
Below is a relaxed structure of BaGa4Ir, with properties calculated at the PBE level.

## Properties
* E: -4.2401 eV/atom

Unit cell a=4.721 b=17.878 c=6.765 alpha=90.00 beta=90.00 gamma=90.00
Space group Cmcm (No. 63)
Unique sites:
Ba  0.000  0.103  0.250 [4 per cell]
Ga  0.000  0.122  0.750 [4 per cell]
Ga  0.000  0.284  0.039 [8 per cell]
Ga  0.000  0.500  0.000 [4 per cell]
Ir  0.000  0.406  0.250 [4 per cell]

[6]
Below is a relaxed structure of Ba3Ga3Ir2, with properties calculated at the PBE level.

## Properties
* polymorph energy (0 for the lowest one): 0.000 eV/atom

Unit cell a=4.384 b=12.734 c=15.890 alpha=90.00 beta=90.00 gamma=90.00
Space group Cmcm (No. 63)
Unique sites:
Ba  0.000  0.065  0.104 [8 per cell]
Ba  0.000  0.364  0.250 [4 per cell]
Ga  0.000  0.322  0.038 [8 per cell]
Ga  0.000  0.329  0.750 [4 per cell]
Ir  0.000  0.229  0.609 [8 per cell]